Here is an optimized crystal structure of La2AlRe from Alexandria. Energies are from GGA-PBE.

The structure in CIF format:
```
data_La2AlRe
_cell_length_a 3.630
_cell_length_b 5.038
_cell_length_c 10.788
_cell_angle_alpha 90.00
_cell_angle_beta 90.00
_cell_angle_gamma 90.00
_symmetry_space_group_name_H-M 'I m m 2'
_symmetry_Int_Tables_number 44
_symmetry_space_group_name_Hall 'I 2 -2'
loop_
_atom_site_label
_atom_site_fract_x
_atom_site_fract_y
_atom_site_fract_z
La1 0.000 0.000 0.000
La2 0.000 0.500 0.199
Al1 0.000 0.000 0.405
Re1 0.000 0.500 0.740
```

---

Here is an optimized crystal structure of La2AlRe from Alexandria. Energies are from GGA-PBE.

The structure in CIF format:
```
data_La2AlRe
_cell_length_a 4.335
_cell_length_b 4.319
_cell_length_c 11.490
_cell_angle_alpha 90.00
_cell_angle_beta 90.00
_cell_angle_gamma 90.00
_symmetry_space_group_name_H-M 'A m m 2'
_symmetry_Int_Tables_number 38
_symmetry_space_group_name_Hall 'A 2 -2'
loop_
_atom_site_label
_atom_site_fract_x
_atom_site_fract_y
_atom_site_fract_z
La1 0.000 0.000 0.000
La2 0.500 0.000 0.276
Al1 0.000 0.000 0.698
Re1 0.500 0.000 0.579
```

---

Number 1: E -51.7 eV for the cell shown, energy of formation from the pure elements 48 meV per atom. Number 2: E -52.0 eV for the cell shown, energy of formation from the pure elements 16 meV per atom.